VASP calculation (GGA-PBE) on a geometry-optimized Li2HgBiAs structure.

Geometry as POSCAR:
```
Li2HgBiAs
1.0
5.5108 0.0000 0.0000
0.0000 5.5108 0.0000
0.0000 0.0000 5.4431
Li Hg Bi As
2 1 1 1
Cartesian
0.0000 2.7554 0.0000
2.7554 0.0000 0.0000
0.0000 0.0000 2.7215
2.7554 2.7554 0.0000
2.7554 2.7554 2.7215
```

Its total DFT energy (no corrections) is -12.0 eV/cell. Its energy of formation is 135 meV/atom. As for the space-group type: P4/mmm (123). As for the energy above the most stable polymorph in this dataset: 318.3 meV/atom.